(1)
A relaxed structure of SrCa2Te3O9, computed with PBE-GGA.

Summary:
Crystal system   monoclinic

Unit cell a=5.788 b=8.957 c=11.528 alpha=69.34 beta=90.00 gamma=90.00
Fractional coordinates of all 30 atoms:
Ca  0.495  0.696  0.953
O  0.652  0.840  0.489
Ca  0.445  0.982  0.616
O  0.333  0.464  0.088
Te  0.001  0.743  0.174
O  0.184  0.822  0.520
Sr  0.504  0.994  0.138
O  0.238  0.159  0.241
O  0.758  0.791  0.055
O  0.734  0.167  0.946
O  0.209  0.767  0.797
O  0.425  0.081  0.780
O  0.234  0.833  0.054
Te  0.917  0.302  0.517
O  0.152  0.160  0.511
Ca  0.945  0.018  0.384
O  0.380  0.740  0.313
O  0.738  0.841  0.759
O  0.709  0.233  0.203
Te  0.501  0.257  0.826
Te  0.438  0.325  0.245
O  0.258  0.209  0.945
Ca  0.995  0.304  0.047
O  0.833  0.536  0.912
Te  0.417  0.698  0.483
O  0.880  0.260  0.687
Te  0.938  0.675  0.755
O  0.684  0.178  0.480
Sr  0.004  0.006  0.862
O  0.925  0.919  0.220

(2)
A relaxed structure of SrCa2TeO6, computed with PBE-GGA.

Summary:
Crystal system   monoclinic

Unit cell a=5.698 b=6.050 c=8.318 alpha=90.00 beta=89.13 gamma=90.00
Fractional coordinates of all 20 atoms:
Ca  0.510  0.542  0.771
Sr  0.500  0.000  0.000
O  0.344  0.740  0.404
O  0.212  0.163  0.466
O  0.621  0.092  0.288
Ca  0.010  0.958  0.271
O  0.844  0.760  0.904
O  0.656  0.260  0.596
O  0.156  0.240  0.096
O  0.288  0.663  0.034
Sr  0.000  0.500  0.500
O  0.121  0.408  0.788
Te  0.000  0.500  0.000
Ca  0.490  0.458  0.229
Ca  0.990  0.042  0.729
O  0.879  0.592  0.212
O  0.379  0.908  0.712
O  0.712  0.337  0.966
Te  0.500  0.000  0.500
O  0.788  0.837  0.534

(3)
A relaxed structure of SrCa2TeO, computed with PBE-GGA.

Summary:
Crystal system   tetragonal

Unit cell a=6.416 b=4.422 c=6.416 alpha=90.00 beta=90.00 gamma=90.00
Fractional coordinates of all 5 atoms:
Ca  0.500  0.000  0.000
Ca  0.000  0.000  0.500
Sr  0.000  0.000  0.000
O  0.000  0.500  0.000
Te  0.500  0.500  0.500

(4)
A relaxed structure of SrCaTi2O6, computed with PBE-GGA.

Summary:
ΔE to the lowest computed polymorph   0.0028 eV/atom
Crystal system   orthorhombic

Unit cell a=5.514 b=5.514 c=7.813 alpha=90.00 beta=90.00 gamma=90.08
Fractional coordinates of all 20 atoms:
O  0.718  0.282  0.960
O  0.282  0.718  0.460
O  0.778  0.778  0.500
Sr  0.990  0.010  0.750
Ti  0.500  0.000  0.000
O  0.467  0.952  0.750
Sr  0.010  0.990  0.250
Ti  0.500  0.000  0.500
Ti  0.000  0.500  0.500
O  0.533  0.048  0.250
Ca  0.488  0.512  0.750
Ti  0.000  0.500  0.000
O  0.778  0.778  0.000
Ca  0.512  0.488  0.250
O  0.282  0.718  0.040
O  0.048  0.533  0.750
O  0.952  0.467  0.250
O  0.718  0.282  0.540
O  0.222  0.222  0.000
O  0.222  0.222  0.500

(5)
A relaxed structure of SrCa2TiO, computed with PBE-GGA.

Summary:
Crystal system   tetragonal

Unit cell a=6.731 b=3.803 c=6.731 alpha=90.00 beta=90.00 gamma=90.00
Each line ends with the local moment (μB).
Fractional coordinates of all 5 atoms:
Ca  0.500  0.000  0.000  0.02
Ca  0.000  0.000  0.500  0.04
O  0.000  0.500  0.000  -0.05
Ti  0.000  0.000  0.000  1.01
Sr  0.500  0.500  0.500  -0.02

(6)
A relaxed structure of SrCaTi2O6, computed with PBE-GGA.

Summary:
ΔE to the lowest computed polymorph   0.0000 eV/atom
Crystal system   orthorhombic

Unit cell a=5.532 b=5.570 c=7.772 alpha=90.00 beta=90.00 gamma=90.00
Fractional coordinates of all 20 atoms:
Ti  0.745  0.016  0.755
O  0.527  0.714  0.728
O  0.204  0.497  0.500
Ti  0.745  0.016  0.245
Ti  0.255  0.516  0.245
O  0.031  0.770  0.788
Ca  0.756  0.542  0.000
O  0.473  0.214  0.728
Sr  0.250  0.989  0.500
Sr  0.750  0.489  0.500
Ca  0.244  0.042  0.000
O  0.527  0.714  0.272
O  0.031  0.770  0.212
O  0.969  0.270  0.788
O  0.969  0.270  0.212
O  0.473  0.214  0.272
O  0.681  0.974  0.000
O  0.796  0.997  0.500
Ti  0.255  0.516  0.755
O  0.319  0.474  0.000

(7)
A relaxed structure of SrCa3Ti4O12, computed with PBE-GGA.

Summary:
Crystal system   monoclinic

Unit cell a=7.741 b=5.489 c=5.530 alpha=89.20 beta=90.00 gamma=90.00
Fractional coordinates of all 20 atoms:
Ti  0.754  0.515  0.003
Ca  0.000  0.006  0.974
O  0.711  0.201  0.786
O  0.274  0.275  0.279
O  0.208  0.777  0.209
O  0.500  0.943  0.473
Ca  0.500  0.013  0.044
Ti  0.250  0.012  0.513
O  0.214  0.704  0.707
Sr  0.500  0.497  0.525
Ti  0.246  0.515  0.003
O  0.289  0.201  0.786
O  0.000  0.427  0.005
O  0.000  0.069  0.525
O  0.792  0.777  0.209
O  0.726  0.275  0.279
Ca  0.000  0.510  0.462
O  0.500  0.568  0.997
O  0.786  0.704  0.707
Ti  0.750  0.012  0.513

(8)
A relaxed structure of SrCaZrTiO6, computed with PBE-GGA.

Summary:
Crystal system   cubic

Unit cell a=5.722 b=5.722 c=5.722 alpha=60.00 beta=60.00 gamma=60.00
Fractional coordinates of all 10 atoms:
Sr  0.250  0.250  0.250
Ti  0.000  0.000  0.000
O  0.758  0.758  0.242
O  0.242  0.758  0.242
O  0.242  0.758  0.758
O  0.242  0.242  0.758
Zr  0.500  0.500  0.500
Ca  0.750  0.750  0.750
O  0.758  0.242  0.758
O  0.758  0.242  0.242

(9)
A relaxed structure of SrCaTl4O8, computed with PBE-GGA.

Summary:
Crystal system   trigonal

Unit cell a=6.939 b=6.939 c=6.898 alpha=59.80 beta=59.80 gamma=60.00
Fractional coordinates of all 14 atoms:
O  0.238  0.238  0.286
Ca  0.002  0.002  0.995
O  0.795  0.239  0.726
O  0.756  0.756  0.732
O  0.756  0.224  0.265
Tl  0.003  0.003  0.503
O  0.239  0.239  0.726
Tl  0.003  0.492  0.503
Tl  0.492  0.003  0.503
O  0.756  0.756  0.265
Sr  0.380  0.380  0.861
Tl  0.619  0.619  0.143
O  0.224  0.756  0.265
O  0.239  0.795  0.726

(10)
A relaxed structure of Sr2CaTl3O8, computed with PBE-GGA.

Summary:
Crystal system   trigonal

Unit cell a=6.967 b=6.967 c=7.044 alpha=60.36 beta=60.36 gamma=60.00
Each line ends with the local moment (μB).
Fractional coordinates of all 14 atoms:
O  0.253  0.253  0.792  0.14
O  0.281  0.753  0.214  0.11
Sr  0.117  0.117  0.650  0.00
Tl  0.000  0.499  0.003  0.01
O  0.253  0.702  0.792  0.14
O  0.753  0.753  0.214  0.11
O  0.743  0.743  0.771  0.11
O  0.702  0.253  0.792  0.14
Tl  0.499  0.000  0.003  0.01
O  0.259  0.259  0.223  0.11
O  0.753  0.281  0.214  0.11
Sr  0.501  0.501  0.498  0.00
Ca  0.882  0.882  0.354  0.00
Tl  0.499  0.499  0.003  0.01

(11)
A relaxed structure of Sr2CaTlO5, computed with PBE-GGA.

Summary:
Crystal system   orthorhombic

Unit cell a=3.616 b=7.481 c=10.832 alpha=90.00 beta=90.00 gamma=103.98
Each line ends with the local moment (μB).
Fractional coordinates of all 18 atoms:
O  0.939  0.877  0.570  0.07
Sr  0.137  0.273  0.289  -0.01
Sr  0.892  0.785  0.187  0.00
O  0.376  0.752  0.003  0.10
O  0.507  0.013  0.270  0.14
Tl  0.530  0.059  0.964  0.01
O  0.319  0.638  0.373  0.26
Ca  0.220  0.440  0.009  0.00
O  0.720  0.441  0.160  0.32
O  0.493  0.987  0.770  0.14
Sr  0.108  0.215  0.687  0.00
O  0.681  0.362  0.873  0.26
Tl  0.470  0.941  0.464  0.01
Ca  0.780  0.560  0.509  0.00
O  0.624  0.248  0.503  0.10
O  0.280  0.559  0.660  0.32
O  0.061  0.123  0.070  0.07
Sr  0.863  0.727  0.789  -0.01

(12)
A relaxed structure of Sr2CaTlO, computed with PBE-GGA.

Summary:
Crystal system   tetragonal

Unit cell a=5.359 b=5.359 c=4.712 alpha=90.00 beta=90.00 gamma=90.00
Fractional coordinates of all 5 atoms:
Sr  0.000  0.500  0.000
O  0.000  0.000  0.000
Ca  0.000  0.000  0.500
Sr  0.500  0.000  0.000
Tl  0.500  0.500  0.500

Formation energy without anion corrections for every record listed, in sequence, given in eV per atom: -1.9788 -2.3419 -0.4261 -3.1236 -0.4019 -3.1264 -3.1290 -3.1094 -1.3025 -1.5162 -1.9829 -1.3156.